Compound: HoSc2MoO8
Source: Alexandria via LeMat-Bulk
Functional: PBE+U
Structure: relaxed

Geometry as CIF:
```
data_HoSc2MoO8
_chemical_formula_sum 'Ho2 Sc4 Mo2 O16'
_symmetry_space_group_name_H-M 'C m m m'
_symmetry_Int_Tables_number 65
_symmetry_space_group_name_Hall '-C 2 2'
_cell_length_a 6.8539
_cell_length_b 6.9009
_cell_length_c 6.5436
_cell_angle_alpha 90.00
_cell_angle_beta 90.00
_cell_angle_gamma 90.00
loop_
_atom_site_label
_atom_site_fract_x
_atom_site_fract_y
_atom_site_fract_z
Ho1 0.0000 0.0000 0.0000
Sc1 0.0000 0.5000 0.2496
Mo1 0.0000 0.0000 0.5000
O1 0.0000 0.1924 0.2846
O2 0.1828 0.5000 0.0000
O3 0.2130 0.5000 0.5000
```

The crystal system is orthorhombic. For the total energy, the calculation gives -191.81 eV for the cell shown.